[1]
Entry from Alexandria: crystalline As2RhW at its relaxed geometry (PBE).

## Properties
As for the space group: C2/m. The calculation puts the energy of formation from the pure elements at 0.133 eV/atom. Its total energy is -29.1 eV for the cell shown. Its energy above the most stable polymorph in this dataset is 179 meV/atom. As for the crystal system: monoclinic.

The structure in POSCAR format:
```
As2RhW
1.0
-2.058 1.485 -3.523
-1.478 -1.472 -3.808
-4.993 -1.093 1.186
As Rh W
2 1 1
Cartesian
-3.585 0.000 -7.298
-4.214 -0.527 -3.105
-6.396 -0.810 -4.609
-2.132 -0.270 -1.536
```

***

[2]
Entry from Alexandria: crystalline AsRhW2 at its relaxed geometry (PBE).

## Properties
As for the space group: Pmmm. The calculation puts the energy of formation from the pure elements at 0.246 eV/atom. Its total energy is -36.9 eV for the cell shown. As for the crystal system: orthorhombic.

The structure in POSCAR format:
```
AsRhW2
1.0
3.145 0.000 0.000
0.000 4.365 0.000
0.000 0.000 4.549
As Rh W
1 1 2
Cartesian
1.572 0.000 2.274
0.000 2.183 2.274
0.000 0.000 0.000
1.572 2.183 0.000
```

***

[3]
Entry from Alexandria: crystalline AsRhW at its relaxed geometry (PBE).

## Properties
As for the space group: I4mm. The calculation puts the energy of formation from the pure elements at 0.038 eV/atom. Its total energy is -24.8 eV for the cell shown. Its energy above the most stable polymorph in this dataset is 0 meV/atom. As for the crystal system: tetragonal.

The structure in POSCAR format:
```
AsRhW
1.0
-1.437 4.849 2.905
-3.552 2.933 3.578
1.174 -0.361 2.662
As Rh W
1 1 1
Cartesian
1.157 -0.338 2.673
-0.831 2.289 3.905
-2.967 5.110 5.229
```

***

[4]
Entry from Alexandria: crystalline AsRhW2 at its relaxed geometry (PBE).

## Properties
As for the space group: F-43m. The calculation puts the energy of formation from the pure elements at 0.399 eV/atom. Its total energy is -36.3 eV for the cell shown. As for the crystal system: cubic.

The structure in POSCAR format:
```
AsRhW2
1.0
4.463 0.000 0.000
2.232 3.865 0.000
2.232 1.288 3.644
As Rh W
1 1 2
Cartesian
4.463 2.577 1.822
6.695 3.865 2.733
0.000 0.000 0.000
2.232 1.288 0.911
```

***

[5]
Entry from Alexandria: crystalline AsRh4W at its relaxed geometry (PBE).

## Properties
As for the space group: F-43m. The calculation puts the energy of formation from the pure elements at 0.437 eV/atom. Its total energy is -44.4 eV for the cell shown. As for the crystal system: cubic.

The structure in POSCAR format:
```
AsRh4W
1.0
0.000 3.609 3.609
3.609 0.000 3.609
3.609 3.609 0.000
As Rh W
1 4 1
Cartesian
0.000 0.000 0.000
2.710 2.710 4.508
2.710 4.508 2.710
4.508 4.508 4.508
4.508 2.710 2.710
1.804 1.804 1.804
```

***

[6]
Entry from Alexandria: crystalline AsRhW2 at its relaxed geometry (PBE).

## Properties
As for the space group: P2/m. The calculation puts the energy of formation from the pure elements at 0.157 eV/atom. Its total energy is -37.3 eV for the cell shown. As for the crystal system: monoclinic.

The structure in POSCAR format:
```
AsRhW2
1.0
4.137 0.000 0.000
0.000 2.804 0.011
0.000 1.558 5.332
As Rh W
1 1 2
Cartesian
2.069 1.091 1.336
2.069 3.272 4.007
0.000 0.186 0.021
0.000 1.996 2.651
```

***

- Look up the energy of formation from the pure elements of the sixth one.
  0.157 eV/atom

***

- Among the records above, which one has the highest energy of formation from the pure elements?
  AsRh4W